Below is a relaxed structure of LiGaCu2Te, with properties calculated at the PBE level.

Properties
The raw formation energy comes out at 0.24 eV per atom. The value obtained for the density of states at the Fermi level is 0.35 states/eV per atom. As for the final energy: -3.01 eV/atom. The total magnetic moment is 0.00 μB/f.u.

POSCAR file:
```
LiGaCu2Te
1.0
4.559 0.000 0.000
0.000 4.559 0.000
0.000 0.000 5.668
Li Ga Cu Te
1 1 2 1
Direct
0.000 0.000 0.000 Li
0.500 0.500 0.500 Ga
0.000 0.500 0.500 Cu
0.500 0.000 0.500 Cu
0.500 0.500 0.000 Te
```